# 1
A relaxed structure of Ba3Li2FeO6, computed with PBE+U.

Results
energy: -67.68 eV per cell

Unit cell a=5.8463 b=5.8463 c=6.6032 alpha=90.00 beta=90.00 gamma=120.00
Closest atoms and distances in Å follow each position.
Space group P-3m1 (No. 164)
Asymmetric unit:
Ba1 0.0000 0.0000 0.0000 (multiplicity 1)  6 O 2.68
Ba2 0.3333 0.6667 0.6458 (multiplicity 2)  1 Li 2.69, 9 O 2.76-2.93
Li1 0.3333 0.6667 0.2387 (multiplicity 2)  3 O 1.85
Fe1 0.0000 0.0000 0.5000 (multiplicity 1)  6 O 1.99
O1 0.1596 0.3193 0.3241 (multiplicity 6)  1 Li 1.85, 1 Fe 1.99

=====

# 2
A relaxed structure of BaLi2FeO4, computed with PBE+U.

Results
energy: -91.20 eV per cell
N(E_F): 0.709 states/eV/atom

Unit cell a=5.4392 b=5.4392 c=7.3623 alpha=90.00 beta=90.00 gamma=90.00
Closest atoms and distances in Å follow each position.
Space group I-42m (No. 121)
Asymmetric unit:
Ba1 0.0000 0.0000 0.0000 (multiplicity 2)  8 O 2.66-2.91
Li1 0.0000 0.5000 0.2500 (multiplicity 4)  4 O 2.10
Fe1 0.0000 0.0000 0.5000 (multiplicity 2)  4 O 1.85
O1 0.1885 0.1885 0.3429 (multiplicity 8)  1 Fe 1.85